# PBE with a Hubbard U CsMoP2HO9, optimized geometry
data_CsMoP2HO9
_chemical_formula_sum 'Cs4 Mo4 P8 H4 O36'
_cell_length_a 6.3687
_cell_length_b 10.4238
_cell_length_c 14.2329
_cell_angle_alpha 90.00
_cell_angle_beta 90.00
_cell_angle_gamma 100.19
_space_group_name_H-M_alt 'P 1'
_space_group_IT_number 1
_space_group_name_Hall 'P 1'
loop_
_atom_site_label
_atom_site_type_symbol
_atom_site_fract_x
_atom_site_fract_y
_atom_site_fract_z
O1 O 0.1879 0.0444 0.4007
O2 O 0.6495 0.1572 0.5836
O3 O 0.6175 0.2352 0.9583
O4 O 0.2376 0.0913 0.0165
O5 O 0.6238 0.0393 0.7392
O6 O 0.3762 0.4607 0.2392
O7 O 0.7624 0.9087 0.9835
O8 O 0.4079 0.9321 0.6053
O9 O 0.6238 0.5393 0.7608
O10 O 0.1879 0.5444 0.0993
O11 O 0.7624 0.4087 0.5165
O12 O 0.7392 0.8225 0.1628
O13 O 0.2608 0.6775 0.6628
O14 O 0.3762 0.9607 0.2608
O15 O 0.9896 0.7103 0.0376
O16 O 0.3505 0.8428 0.4164
O17 O 0.2608 0.1775 0.8372
O18 O 0.8121 0.4556 0.9007
O19 O 0.0104 0.2897 0.9624
O20 O 0.1769 0.7471 0.1985
O21 O 0.6495 0.6572 0.9164
O22 O 0.4079 0.4321 0.8947
O23 O 0.8231 0.2529 0.8015
O24 O 0.2376 0.5913 0.4835
O25 O 0.5921 0.0679 0.3947
O26 O 0.1769 0.2471 0.3015
O27 O 0.5921 0.5679 0.1053
O28 O 0.9896 0.2103 0.4624
O29 O 0.6175 0.7352 0.5417
O30 O 0.8121 0.9556 0.5993
O31 O 0.8231 0.7529 0.6985
O32 O 0.7392 0.3225 0.3372
O33 O 0.3825 0.7648 0.0417
O34 O 0.3825 0.2648 0.4583
O35 O 0.3505 0.3428 0.0836
O36 O 0.0104 0.7897 0.5376
Cs1 Cs 0.8002 0.6330 0.3404
Cs2 Cs 0.1998 0.3670 0.6596
Cs3 Cs 0.8002 0.1330 0.1596
Cs4 Cs 0.1998 0.8670 0.8404
P1 P 0.8147 0.3009 0.9007
P2 P 0.6119 0.5246 0.8700
P3 P 0.6119 0.0246 0.6300
P4 P 0.3881 0.4754 0.1300
P5 P 0.8147 0.8009 0.5993
P6 P 0.1853 0.6991 0.0993
P7 P 0.1853 0.1991 0.4007
P8 P 0.3881 0.9754 0.3700
Mo1 Mo 0.7022 0.7661 0.0480
Mo2 Mo 0.2978 0.2339 0.9520
Mo3 Mo 0.7022 0.2661 0.4520
Mo4 Mo 0.2978 0.7339 0.5480
H1 H 0.2936 0.8724 0.2347
H2 H 0.7064 0.1276 0.7653
H3 H 0.2936 0.3724 0.2653
H4 H 0.7064 0.6276 0.7347
# Total magnetic moment (μB/f.u.): 0.00
# Uncorrected energy (eV per atom): -6.714